Entry 1:
{"formula": "Cu2MoCl", "functional": "PBE-GGA", "state": "optimized geometry", "cell": [[2.826, 0.000, 0.000], [0.000, 2.826, 0.000], [0.000, 0.000, 7.474]], "species": ["Mo", "Cl", "Cu", "Cu"], "fractional_positions": [[0.500, 0.500, 0.250], [0.500, 0.500, 0.750], [0.000, 0.000, 0.500], [0.000, 0.000, 0.000]], "raw_formation_energy_kj_per_mol_atoms": 32.6, "relative_energy_mev_per_atom": 141}

Entry 2:
{"formula": "CuMo2Cl", "functional": "PBE-GGA", "state": "optimized geometry", "cell": [[3.706, 0.000, 0.000], [0.000, 3.706, 0.000], [1.853, 1.853, 9.532]], "species": ["Cl", "Cl", "Cu", "Cu", "Mo", "Mo", "Mo", "Mo"], "fractional_positions": [[0.500, 0.500, 0.000], [0.250, 0.750, 0.500], [0.000, 0.000, 0.000], [0.750, 0.250, 0.500], [0.375, 0.363, 0.750], [0.875, 0.887, 0.750], [0.637, 0.125, 0.250], [0.113, 0.625, 0.250]], "raw_formation_energy_kj_per_mol_atoms": 78.6, "relative_energy_mev_per_atom": 578}

Entry 3:
{"formula": "CuMoCl2", "functional": "PBE-GGA", "state": "optimized geometry", "cell": [[-3.992, -0.979, 1.654], [-2.006, 2.824, 2.762], [-3.569, 2.256, -1.344]], "species": ["Cl", "Cl", "Mo", "Cu"], "fractional_positions": [[0.750, 0.750, 0.750], [0.250, 0.250, 0.250], [0.500, 0.500, 0.500], [0.000, 0.000, 0.000]], "raw_formation_energy_kj_per_mol_atoms": 57.2, "relative_energy_mev_per_atom": 706}

Entry 4:
{"formula": "CuMo2Cl", "functional": "PBE-GGA", "state": "optimized geometry", "cell": [[-0.210, -5.326, 0.178], [4.552, -2.746, 0.428], [-3.344, 3.586, 2.099]], "species": ["Cu", "Cl", "Mo", "Mo"], "fractional_positions": [[0.250, 0.750, 0.500], [0.750, 0.250, 0.500], [0.978, 0.978, 0.000], [0.522, 0.522, 0.000]], "raw_formation_energy_kj_per_mol_atoms": 64.5, "relative_energy_mev_per_atom": 432}

Entry 5:
{"formula": "CuMo2Cl", "functional": "PBE-GGA", "state": "optimized geometry", "cell": [[-3.624, 0.997, -2.350], [-0.097, -0.781, -4.363], [-2.555, -3.242, -1.615]], "species": ["Cl", "Mo", "Mo", "Cu"], "fractional_positions": [[0.500, 0.500, 0.500], [0.250, 0.250, 0.250], [0.000, 0.000, 0.000], [0.750, 0.750, 0.750]], "raw_formation_energy_kj_per_mol_atoms": 86.8, "relative_energy_mev_per_atom": 663}

Entry 6:
{"formula": "Cu2MoCl", "functional": "PBE-GGA", "state": "optimized geometry", "cell": [[-1.132, 2.495, -0.496], [-0.662, -1.850, -1.973], [-7.126, -2.325, 4.570]], "species": ["Cl", "Mo", "Cu", "Cu"], "fractional_positions": [[0.500, 0.500, 0.717], [0.000, 0.000, 0.495], [0.500, 0.500, 0.250], [0.000, 0.000, 0.038]], "raw_formation_energy_kj_per_mol_atoms": 36.4, "relative_energy_mev_per_atom": 180}